No. 1
The following is a DFT calculation (PBE-GGA) of crystalline SrCuSi2Pt5 at its relaxed geometry.

```
data_SrCuSi2Pt5
_chemical_formula_sum 'Sr1 Cu1 Si2 Pt5'
_space_group_name_H-M_alt 'P 4/m m m'
_space_group_IT_number 123
_space_group_name_Hall '-P 4 2'
_cell_length_a 4.1260
_cell_length_b 4.1260
_cell_length_c 10.1947
_cell_angle_alpha 90.00
_cell_angle_beta 90.00
_cell_angle_gamma 90.00
loop_
_atom_site_label
_atom_site_fract_x
_atom_site_fract_y
_atom_site_fract_z
_atom_site_occupancy
Sr1 0.0000 0.0000 0.0000 1
Cu1 0.0000 0.0000 0.5000 1
Si1 0.5000 0.5000 0.2311 1
Pt1 0.0000 0.5000 0.3473 1
Pt2 0.5000 0.5000 0.0000 1
```

Computed properties:
The energy comes out at -52.09 eV/f.u.



No. 2
The following is a DFT calculation (PBE-GGA) of crystalline TlSbPt at its relaxed geometry.

```
data_TlSbPt
_chemical_formula_sum 'Tl2 Sb2 Pt2'
_space_group_name_H-M_alt 'I 4 m m'
_space_group_IT_number 107
_space_group_name_Hall 'I 4 -2'
_cell_length_a 3.4177
_cell_length_b 3.4177
_cell_length_c 13.2157
_cell_angle_alpha 90.00
_cell_angle_beta 90.00
_cell_angle_gamma 90.00
loop_
_atom_site_label
_atom_site_fract_x
_atom_site_fract_y
_atom_site_fract_z
_atom_site_occupancy
Tl1 0.0000 0.0000 0.0000 1
Sb1 0.0000 0.0000 0.7366 1
Pt1 0.0000 0.0000 0.3336 1
```

Computed properties:
The energy comes out at -12.90 eV/f.u.



No. 3
The following is a DFT calculation (PBE-GGA) of crystalline Tl2CoSe at its relaxed geometry.

```
data_Tl2CoSe
_chemical_formula_sum 'Tl2 Co1 Se1'
_space_group_name_H-M_alt 'P m m m'
_space_group_IT_number 47
_cell_length_a 4.5165
_cell_length_b 4.6122
_cell_length_c 4.6265
_cell_angle_alpha 90.00
_cell_angle_beta 90.00
_cell_angle_gamma 90.00
loop_
_space_group_symop_operation_xyz
'x,y,z'
'-x,-y,-z'
'-x,-y,z'
'x,y,-z'
'x,-y,-z'
'-x,y,z'
'-x,y,-z'
'x,-y,z'
loop_
_atom_site_label
_atom_site_fract_x
_atom_site_fract_y
_atom_site_fract_z
_atom_site_occupancy
Tl1 0.0000 0.0000 0.0000 1
Tl2 0.0000 0.5000 0.5000 1
Co1 0.5000 0.0000 0.5000 1
Se1 0.5000 0.5000 0.0000 1
```

Computed properties:
The energy comes out at -13.47 eV/f.u.



No. 4
The following is a DFT calculation (PBE-GGA) of crystalline Al2AsRu at its relaxed geometry.

```
data_Al2AsRu
_chemical_formula_sum 'Al8 As4 Ru4'
_space_group_name_H-M_alt 'F -4 3 m'
_space_group_IT_number 216
_space_group_name_Hall 'F -4 2 3'
_cell_length_a 6.2454
_cell_length_b 6.2454
_cell_length_c 6.2454
_cell_angle_alpha 90.00
_cell_angle_beta 90.00
_cell_angle_gamma 90.00
loop_
_atom_site_label
_atom_site_fract_x
_atom_site_fract_y
_atom_site_fract_z
_atom_site_occupancy
Al1 0.0000 0.0000 0.0000 1
Al2 0.2500 0.2500 0.2500 1
As1 0.0000 0.0000 0.5000 1
Ru1 0.2500 0.2500 0.7500 1
```

Computed properties:
The value obtained for the calculated formation energy is 0 kJ per mole of atoms.



No. 5
The following is a DFT calculation (PBE-GGA) of crystalline LiCuMo2 at its relaxed geometry.

```
data_LiCuMo2
_chemical_formula_sum 'Li1 Cu1 Mo2'
_space_group_name_H-M_alt 'P 4/m m m'
_space_group_IT_number 123
_space_group_name_Hall '-P 4 2'
_cell_length_a 3.6345
_cell_length_b 3.6345
_cell_length_c 4.2963
_cell_angle_alpha 90.00
_cell_angle_beta 90.00
_cell_angle_gamma 90.00
loop_
_atom_site_label
_atom_site_fract_x
_atom_site_fract_y
_atom_site_fract_z
_atom_site_occupancy
Li1 0.0000 0.0000 0.0000 1
Cu1 0.5000 0.5000 0.0000 1
Mo1 0.0000 0.5000 0.5000 1
```

Computed properties:
The value obtained for the calculated formation energy is 32 kJ per mole of atoms.



No. 6
The following is a DFT calculation (PBE-GGA) of crystalline KBe4Cu at its relaxed geometry.

```
data_KBe4Cu
_chemical_formula_sum 'K4 Be16 Cu4'
_space_group_name_H-M_alt 'F -4 3 m'
_space_group_IT_number 216
_space_group_name_Hall 'F -4 2 3'
_cell_length_a 6.7321
_cell_length_b 6.7321
_cell_length_c 6.7321
_cell_angle_alpha 90.00
_cell_angle_beta 90.00
_cell_angle_gamma 90.00
loop_
_atom_site_label
_atom_site_fract_x
_atom_site_fract_y
_atom_site_fract_z
_atom_site_occupancy
K1 0.0000 0.0000 0.0000 1
Be1 0.1174 0.1174 0.6174 1
Cu1 0.2500 0.2500 0.2500 1
```

Computed properties:
The value obtained for the calculated formation energy is 63 kJ per mole of atoms.



No. 7
The following is a DFT calculation (PBE-GGA) of crystalline Rb2LiAlI6 at its relaxed geometry.

```
data_Rb2LiAlI6
_chemical_formula_sum 'Rb2 Li1 Al1 I6'
_space_group_name_H-M_alt 'P -3 m 1'
_space_group_IT_number 164
_space_group_name_Hall '-P 3 2"'
_cell_length_a 8.1876
_cell_length_b 8.1876
_cell_length_c 7.1393
_cell_angle_alpha 90.00
_cell_angle_beta 90.00
_cell_angle_gamma 120.00
loop_
_atom_site_label
_atom_site_fract_x
_atom_site_fract_y
_atom_site_fract_z
_atom_site_occupancy
Rb1 0.3333 0.6667 0.1922 1
Li1 0.0000 0.0000 0.5000 1
Al1 0.0000 0.0000 0.0000 1
I1 0.1594 0.3188 0.7704 1
```

Computed properties:
The energy comes out at -27.61 eV/f.u.



No. 8
The following is a DFT calculation (PBE-GGA) of crystalline YErTlRh at its relaxed geometry.

```
data_YErTlRh
_chemical_formula_sum 'Y4 Er4 Tl4 Rh4'
_space_group_name_H-M_alt 'F -4 3 m'
_space_group_IT_number 216
_space_group_name_Hall 'F -4 2 3'
_cell_length_a 7.2096
_cell_length_b 7.2096
_cell_length_c 7.2096
_cell_angle_alpha 90.00
_cell_angle_beta 90.00
_cell_angle_gamma 90.00
loop_
_atom_site_label
_atom_site_fract_x
_atom_site_fract_y
_atom_site_fract_z
_atom_site_occupancy
Y1 0.0000 0.0000 0.0000 1
Er1 0.0000 0.0000 0.5000 1
Tl1 0.2500 0.2500 0.2500 1
Rh1 0.2500 0.2500 0.7500 1
```

Computed properties:
The value obtained for the calculated formation energy is -49 kJ per mole of atoms.



No. 9
The following is a DFT calculation (PBE-GGA) of crystalline Li2TbGaAu4 at its relaxed geometry.

```
data_Li2TbGaAu4
_chemical_formula_sum 'Li6 Tb3 Ga3 Au12'
_space_group_name_H-M_alt 'R -3 m'
_space_group_IT_number 166
_space_group_name_Hall '-R 3 2"'
_cell_length_a 4.5263
_cell_length_b 4.5263
_cell_length_c 24.9644
_cell_angle_alpha 90.00
_cell_angle_beta 90.00
_cell_angle_gamma 120.00
loop_
_atom_site_label
_atom_site_fract_x
_atom_site_fract_y
_atom_site_fract_z
_atom_site_occupancy
Li1 0.0000 0.0000 0.2404 1
Tb1 0.0000 0.0000 0.0000 1
Ga1 0.0000 0.0000 0.5000 1
Au1 0.0000 0.0000 0.1271 1
Au2 0.0000 0.0000 0.3938 1
```

Computed properties:
The value obtained for the calculated formation energy is -55 kJ per mole of atoms.



No. 10
The following is a DFT calculation (PBE-GGA) of crystalline LiSb2Cl at its relaxed geometry.

```
data_LiSb2Cl
_chemical_formula_sum 'Li1 Sb2 Cl1'
_space_group_name_H-M_alt 'P 4/m m m'
_space_group_IT_number 123
_space_group_name_Hall '-P 4 2'
_cell_length_a 5.4451
_cell_length_b 5.4451
_cell_length_c 3.1554
_cell_angle_alpha 90.00
_cell_angle_beta 90.00
_cell_angle_gamma 90.00
loop_
_atom_site_label
_atom_site_fract_x
_atom_site_fract_y
_atom_site_fract_z
_atom_site_occupancy
Li1 0.0000 0.0000 0.0000 1
Sb1 0.0000 0.5000 0.5000 1
Cl1 0.5000 0.5000 0.0000 1
```

Computed properties:
The energy comes out at -12.54 eV/f.u.



No. 11
The following is a DFT calculation (PBE-GGA) of crystalline PrDy2Ir at its relaxed geometry.

```
data_PrDy2Ir
_chemical_formula_sum 'Pr1 Dy2 Ir1'
_space_group_name_H-M_alt 'P 4/m m m'
_space_group_IT_number 123
_space_group_name_Hall '-P 4 2'
_cell_length_a 3.5006
_cell_length_b 3.5006
_cell_length_c 8.9617
_cell_angle_alpha 90.00
_cell_angle_beta 90.00
_cell_angle_gamma 90.00
loop_
_atom_site_label
_atom_site_fract_x
_atom_site_fract_y
_atom_site_fract_z
_atom_site_occupancy
Pr1 0.0000 0.0000 0.0000 1
Dy1 0.5000 0.5000 0.3191 1
Ir1 0.0000 0.0000 0.5000 1
```

Computed properties:
The value obtained for the calculated formation energy is -41 kJ per mole of atoms.



No. 12
The following is a DFT calculation (PBE-GGA) of crystalline Ac4Sb2Ir at its relaxed geometry.

```
data_Ac4Sb2Ir
_chemical_formula_sum 'Ac8 Sb4 Ir2'
_space_group_name_H-M_alt 'I 4/m m m'
_space_group_IT_number 139
_space_group_name_Hall '-I 4 2'
_cell_length_a 5.5793
_cell_length_b 5.5793
_cell_length_c 17.6531
_cell_angle_alpha 90.00
_cell_angle_beta 90.00
_cell_angle_gamma 90.00
loop_
_atom_site_label
_atom_site_fract_x
_atom_site_fract_y
_atom_site_fract_z
_atom_site_occupancy
Ac1 0.0000 0.0000 0.1740 1
Ac2 0.0000 0.5000 0.0000 1
Sb1 0.0000 0.0000 0.3644 1
Ir1 0.0000 0.0000 0.0000 1
```

Computed properties:
The energy comes out at -38.53 eV/f.u.



For reference, DOS(E_F) by record: 0.44 0.42 0.74 0.73 1.04 0.18 0.00 0.40 0.58 0.26 1.19 0.96 states/eV/atom.
For reference, spin magnetization by record: 0.000 0.000 2.084 0.000 0.000 0.000 0.000 0.000 0.000 0.000 0.000 0.000 Bohr magnetons per cell.